Material: Cs3Ti2Cl8
Method: DFT, PBE
State: optimized geometry

CIF file:
```
data_Cs3Ti2Cl8
_chemical_formula_sum 'Cs3 Ti2 Cl8'
_space_group_name_H-M_alt 'P 1'
_space_group_IT_number 1
_space_group_name_Hall 'P 1'
_cell_length_a 7.8200
_cell_length_b 7.8200
_cell_length_c 9.8103
_cell_angle_alpha 66.51
_cell_angle_beta 66.51
_cell_angle_gamma 60.00
loop_
_atom_site_label
_atom_site_fract_x
_atom_site_fract_y
_atom_site_fract_z
Cl1 0.2738 0.7918 0.6606
Cl2 0.3520 0.3520 0.9439
Cl3 0.6480 0.6480 0.0561
Cl4 0.7262 0.2082 0.3394
Cl5 0.2738 0.2738 0.6606
Cl6 0.2082 0.7262 0.3394
Cl7 0.7918 0.2738 0.6606
Cl8 0.7262 0.7262 0.3394
Cs1 0.0000 0.0000 0.0000
Cs2 0.2228 0.2228 0.3316
Cs3 0.7772 0.7772 0.6684
Ti1 0.4456 0.4456 0.6632
Ti2 0.5544 0.5544 0.3368
```

=====

# CsTi2Cl8 PBE optimized geometry
data_CsTi2Cl8
_chemical_formula_sum 'Cs1 Ti2 Cl8'
_space_group_name_H-M_alt 'P 1'
_space_group_IT_number 1
_space_group_name_Hall 'P 1'
_cell_length_a 6.1427
_cell_length_b 6.1427
_cell_length_c 8.5083
_cell_angle_alpha 90.00
_cell_angle_beta 90.00
_cell_angle_gamma 90.00
loop_
_atom_site_label
_atom_site_fract_x
_atom_site_fract_y
_atom_site_fract_z
Cs1 0.5000 0.5000 0.5000
Cl1 0.2488 0.2488 0.1719
Cl2 0.7512 0.2488 0.1719
Cl3 0.2488 0.7512 0.8281
Cl4 0.7512 0.7512 0.8281
Cl5 0.2488 0.2488 0.8281
Cl6 0.7512 0.2488 0.8281
Cl7 0.7512 0.7512 0.1719
Cl8 0.2488 0.7512 0.1719
Ti1 0.0000 0.5000 0.0000
Ti2 0.5000 0.0000 0.0000
# Polymorph energy (0 for the lowest one), meV/atom: 392.9

=====

# CsTi2Cl8 PBE optimized geometry
data_CsTi2Cl8
_chemical_formula_sum 'Cs1 Ti2 Cl8'
_space_group_name_H-M_alt 'P 1'
_space_group_IT_number 1
_space_group_name_Hall 'P 1'
_cell_length_a 7.1772
_cell_length_b 8.5410
_cell_length_c 8.5536
_cell_angle_alpha 120.01
_cell_angle_beta 90.02
_cell_angle_gamma 90.02
loop_
_atom_site_label
_atom_site_fract_x
_atom_site_fract_y
_atom_site_fract_z
Cl1 0.3065 0.6184 0.8091
Cl2 0.3057 0.1910 0.3821
Cl3 0.6935 0.3816 0.1909
Cl4 0.6939 0.8092 0.1911
Cl5 0.6943 0.8090 0.6179
Cl6 0.3061 0.1908 0.8088
Cl7 0.8941 0.3338 0.6671
Cl8 0.1059 0.6662 0.3329
Ti1 0.2030 0.3334 0.6668
Ti2 0.7970 0.6666 0.3332
Cs1 0.0000 0.0000 0.0000
# Polymorph energy (0 for the lowest one), meV/atom: 0.0

=====

Material: Cs3Ti2Cl7
Method: DFT, PBE
State: optimized geometry

CIF file:
```
data_Cs3Ti2Cl7
_chemical_formula_sum 'Cs3 Ti2 Cl7'
_space_group_name_H-M_alt 'P 1'
_space_group_IT_number 1
_space_group_name_Hall 'P 1'
_cell_length_a 5.0509
_cell_length_b 5.1513
_cell_length_c 14.0499
_cell_angle_alpha 100.56
_cell_angle_beta 90.00
_cell_angle_gamma 90.00
loop_
_atom_site_label
_atom_site_fract_x
_atom_site_fract_y
_atom_site_fract_z
Cl1 0.5000 0.0936 0.1873
Cl2 0.0000 0.0000 0.0000
Cl3 0.5000 0.9064 0.8127
Cl4 0.0000 0.4066 0.8132
Cl5 0.0000 0.8134 0.6269
Cl6 0.0000 0.5934 0.1868
Cl7 0.0000 0.1866 0.3731
Ti1 0.0000 0.9056 0.8111
Ti2 0.0000 0.0944 0.1889
Cs1 0.5000 0.3174 0.6348
Cs2 0.5000 0.6826 0.3652
Cs3 0.5000 0.5000 0.0000
```

=====

Material: Cs2TiCl4
Method: DFT, PBE
State: optimized geometry

CIF file:
```
data_Cs2TiCl4
_chemical_formula_sum 'Cs2 Ti1 Cl4'
_space_group_name_H-M_alt 'P 1'
_space_group_IT_number 1
_space_group_name_Hall 'P 1'
_cell_length_a 4.5877
_cell_length_b 7.8683
_cell_length_c 7.8683
_cell_angle_alpha 90.00
_cell_angle_beta 90.00
_cell_angle_gamma 90.00
loop_
_atom_site_label
_atom_site_fract_x
_atom_site_fract_y
_atom_site_fract_z
Cl1 0.0000 0.2182 0.7818
Cl2 0.0000 0.7818 0.2182
Cl3 0.0000 0.7818 0.7818
Cl4 0.0000 0.2182 0.2182
Ti1 0.0000 0.0000 0.0000
Cs1 0.5000 0.5000 0.0000
Cs2 0.5000 0.0000 0.5000
```

=====

# CsTiCl4 PBE optimized geometry
data_CsTiCl4
_chemical_formula_sum 'Cs2 Ti2 Cl8'
_space_group_name_H-M_alt 'P 1'
_space_group_IT_number 1
_space_group_name_Hall 'P 1'
_cell_length_a 7.5290
_cell_length_b 9.6154
_cell_length_c 8.2788
_cell_angle_alpha 113.07
_cell_angle_beta 102.33
_cell_angle_gamma 114.53
loop_
_atom_site_label
_atom_site_fract_x
_atom_site_fract_y
_atom_site_fract_z
Cl1 0.6032 0.7270 0.9898
Cl2 0.3773 0.8812 0.7551
Cl3 0.8778 0.8739 0.7551
Cl4 0.1222 0.1261 0.2449
Cl5 0.6227 0.1188 0.2449
Cl6 0.1134 0.7372 0.0102
Cl7 0.8866 0.2628 0.9898
Cl8 0.3968 0.2730 0.0102
Cs1 0.4035 0.6535 0.3071
Cs2 0.5965 0.3465 0.6929
Ti1 0.7497 0.9997 0.9994
Ti2 0.2503 0.0003 0.0006
# Polymorph energy (0 for the lowest one), meV/atom: 0.0

=====

Number 1: raw formation energy -1.68 eV per atom, energy -54.98 eV/cell, V 35.481 Å³ per atom. Number 2: raw formation energy -1.26 eV per atom, energy -45.30 eV/cell, V 29.185 Å³ per atom. Number 3: raw formation energy -1.65 eV per atom, energy -49.62 eV/cell, V 41.277 Å³ per atom. Number 4: raw formation energy -1.67 eV per atom, energy -51.31 eV/cell, V 29.947 Å³ per atom. Number 5: raw formation energy -1.64 eV per atom, energy -28.50 eV/cell, V 40.575 Å³ per atom. Number 6: raw formation energy -1.74 eV per atom, energy -53.10 eV/cell, V 37.338 Å³ per atom.